No. 1
Computed, not measured: a geometry-optimized NaCa2Sb structure at the PBE-GGA level of DFT.

Computed properties:
SG: No. 160
Formation energy without anion corrections, eV per formula unit: -2.0

Cell: 8.4073 8.4073 8.4073 Å, 32.94 32.94 32.94°
Atoms (fractional coordinates):
Na 0.0000 0.0000 0.0000
Ca 0.2334 0.2334 0.2334
Ca 0.4413 0.4413 0.4413
Sb 0.8397 0.8397 0.8397

---

No. 2
Computed, not measured: a geometry-optimized LiS2ClO structure at the PBE-GGA level of DFT.

Computed properties:
SG: No. 123
Excess energy over the best structure of this formula in the dataset, meV per atom: 0
Formation energy without anion corrections, eV per formula unit: -0.3

Cell: 3.8427 3.8427 7.4513 Å, 90.00 90.00 90.00°
Atoms (fractional coordinates):
Li 0.0000 0.0000 0.0000
S 0.0000 0.5000 0.5000
S 0.5000 0.0000 0.5000
Cl 0.5000 0.5000 0.0000
O 0.5000 0.5000 0.5000

---

No. 3
Computed, not measured: a geometry-optimized VCdIn structure at the PBE-GGA level of DFT.

Computed properties:
SG: No. 1
Formation energy from the elements, eV per formula unit: 0.71

Cell: 3.0213 4.3010 9.1180 Å, 89.07 81.07 89.30°
Atoms (fractional coordinates):
V 0.0000 0.0000 0.0000
V 0.2716 0.4854 0.8604
Cd 0.3509 0.4914 0.5241
Cd 0.9615 0.9940 0.3354
In 0.4959 0.4971 0.1392
In 0.7799 0.9884 0.7206